Zn2As: optimized geometry, PBE-GGA.

Calculated values
Space-group type: No. 194
Formation energy: 0.41 eV/f.u.

Lattice parameters (Å, degrees): 4.815 4.815 5.213 90.00 90.00 120.00
Fractional positions:
1 Zn 0.000 0.000 0.000
2 Zn 0.000 0.000 0.500
3 Zn 0.333 0.667 0.250
4 Zn 0.667 0.333 0.750
5 As 0.333 0.667 0.750
6 As 0.667 0.333 0.250

Pm7Te2Pd2: optimized geometry, PBE-GGA.

Calculated values
Space-group type: No. 44
Energy relative to the elements, uncorrected: -0.815 eV per atom

Lattice parameters (Å, degrees): 9.767 9.767 9.767 156.13 66.25 119.23
Fractional positions:
1 Pm 0.000 0.000 0.000
2 Pm 0.062 0.381 0.681
3 Pm 0.096 0.739 0.357
4 Pm 0.383 0.739 0.643
5 Pm 0.457 0.584 0.873
6 Pm 0.700 0.381 0.319
7 Pm 0.711 0.584 0.127
8 Te 0.336 0.336 0.000
9 Te 0.737 0.237 0.500
10 Pd 0.312 0.074 0.237
11 Pd 0.837 0.074 0.763

Y2TeAs2: optimized geometry, PBE-GGA.

Calculated values
Space-group type: No. 127
Energy relative to the elements, uncorrected: -0.949 eV per atom

Lattice parameters (Å, degrees): 8.040 8.040 3.800 90.00 90.00 90.00
Fractional positions:
1 Y 0.165 0.335 0.000
2 Y 0.335 0.835 0.000
3 Y 0.665 0.165 0.000
4 Y 0.835 0.665 0.000
5 Te 0.000 0.000 0.500
6 Te 0.500 0.500 0.500
7 As 0.136 0.636 0.500
8 As 0.364 0.136 0.500
9 As 0.636 0.864 0.500
10 As 0.864 0.364 0.500

Rb4U3AuSe8: optimized geometry, PBE-GGA.

Calculated values
Space-group type: No. 12
Energy relative to the elements, uncorrected: -1.064 eV per atom

Lattice parameters (Å, degrees): 8.544 8.544 9.404 117.19 117.19 58.98
Fractional positions:
1 Rb 0.000 0.000 0.000
2 Rb 0.000 0.500 0.000
3 Rb 0.500 0.000 0.000
4 Rb 0.500 0.500 0.000
5 U 0.000 0.000 0.500
6 U 0.000 0.500 0.500
7 U 0.500 0.000 0.500
8 Au 0.500 0.500 0.500
9 Se 0.225 0.731 0.692
10 Se 0.231 0.231 0.698
11 Se 0.256 0.256 0.300
12 Se 0.269 0.775 0.308
13 Se 0.731 0.225 0.692
14 Se 0.744 0.744 0.700
15 Se 0.769 0.769 0.302
16 Se 0.775 0.269 0.308

Dy2TaPt9: optimized geometry, PBE-GGA.

Calculated values
Space-group type: No. 123
Formation energy: -11.46 eV/f.u.

Lattice parameters (Å, degrees): 4.084 4.084 12.218 90.00 90.00 90.00
Fractional positions:
1 Dy 0.000 0.000 0.167
2 Dy 0.000 0.000 0.833
3 Ta 0.000 0.000 0.500
4 Pt 0.000 0.500 0.000
5 Pt 0.000 0.500 0.345
6 Pt 0.000 0.500 0.655
7 Pt 0.500 0.000 0.000
8 Pt 0.500 0.000 0.345
9 Pt 0.500 0.000 0.655
10 Pt 0.500 0.500 0.173
11 Pt 0.500 0.500 0.500
12 Pt 0.500 0.500 0.827

Pm4Dy4Th: optimized geometry, PBE-GGA.

Calculated values
Space-group type: No. 139
Formation energy: 0.24 eV/f.u.

Lattice parameters (Å, degrees): 8.044 8.044 8.044 95.72 95.72 143.18
Fractional positions:
1 Pm 0.000 0.329 0.329
2 Pm 0.000 0.671 0.671
3 Pm 0.329 0.000 0.329
4 Pm 0.671 0.000 0.671
5 Dy 0.337 0.337 0.673
6 Dy 0.337 0.663 0.000
7 Dy 0.663 0.337 0.000
8 Dy 0.663 0.663 0.327
9 Th 0.000 0.000 0.000

Li2PdRh: optimized geometry, PBE-GGA.

Calculated values
Space-group type: No. 160
Formation energy: -1.17 eV/f.u.

Lattice parameters (Å, degrees): 2.733 2.733 25.485 90.00 90.00 120.00
Fractional positions:
1 Li 0.000 0.000 0.000
2 Li 0.000 0.000 0.166
3 Li 0.333 0.667 0.667
4 Li 0.333 0.667 0.832
5 Li 0.667 0.333 0.333
6 Li 0.667 0.333 0.499
7 Pd 0.000 0.000 0.583
8 Pd 0.333 0.667 0.249
9 Pd 0.667 0.333 0.916
10 Rh 0.000 0.000 0.749
11 Rh 0.333 0.667 0.416
12 Rh 0.667 0.333 0.083

HgOs2Cl: optimized geometry, PBE-GGA.

Calculated values
Space-group type: No. 123
Energy relative to the elements, uncorrected: 1.429 eV per atom

Lattice parameters (Å, degrees): 3.590 3.590 6.699 90.00 90.00 90.00
Fractional positions:
1 Hg 0.000 0.000 0.000
2 Os 0.000 0.500 0.500
3 Os 0.500 0.000 0.500
4 Cl 0.500 0.500 0.000

no.,spin magnetization (Bohr magnetons per cell),D(E_F) (states/eV per cell),calculated density (g/cm3)
1,0.0,2.66,6.529
2,0.0,8.91,7.543
3,0.0,3.24,6.156
4,7.0,12.19,6.250
5,0.0,2.96,18.433
6,0.0,13.05,8.204
7,1.5,8.32,6.743
8,0.0,4.38,11.856